*one*
A plane-wave DFT calculation with PBE was carried out for Ce7Bi3N2 after structural relaxation.

Structure (POSCAR):
```
Ce7Bi3N2
1.0
-2.437 2.437 13.167
2.437 -2.437 13.167
2.437 2.437 -13.167
Ce Bi N
7 3 2
Direct
0.000 0.000 0.000
0.089 0.589 0.500
0.190 0.190 0.000
0.411 0.911 0.500
0.589 0.089 0.500
0.810 0.810 0.000
0.911 0.411 0.500
0.318 0.318 0.000
0.500 0.500 0.000
0.682 0.682 0.000
0.098 0.098 0.000
0.902 0.902 0.000
```

Values from the calculation:
M_tot	4.90	μB/cell

=====

*two*
A plane-wave DFT calculation with PBE was carried out for Ce7Bi3N2 after structural relaxation.

Structure (POSCAR):
```
Ce7Bi3N2
1.0
2.473 -12.573 0.000
2.473 12.573 0.000
0.000 0.000 4.842
Ce Bi N
7 3 2
Direct
0.000 0.000 0.000
0.094 0.906 0.500
0.197 0.803 0.000
0.405 0.595 0.000
0.595 0.405 0.000
0.803 0.197 0.000
0.906 0.094 0.500
0.310 0.690 0.500
0.500 0.500 0.500
0.690 0.310 0.500
0.101 0.899 0.000
0.899 0.101 0.000
```

Values from the calculation:
M_tot	4.94	μB/cell

=====

Name the least stable of them. *two*.

=====

*one*
A plane-wave DFT calculation with PBE was carried out for CeNd2Bi after structural relaxation.

Structure (POSCAR):
```
CeNd2Bi
1.0
5.031 0.000 0.000
0.000 5.031 0.000
0.000 0.000 4.786
Ce Nd Bi
1 2 1
Direct
0.000 0.000 0.000
0.000 0.500 0.500
0.500 0.000 0.500
0.500 0.500 0.000
```

Values from the calculation:
M_tot	0.76	μB/cell

=====

*two*
A plane-wave DFT calculation with PBE was carried out for CeNd2Bi after structural relaxation.

Structure (POSCAR):
```
CeNd2Bi
1.0
4.119 0.000 0.000
0.000 4.119 0.000
0.000 0.000 7.423
Ce Nd Bi
1 2 1
Direct
0.000 0.000 0.000
0.500 0.500 0.271
0.500 0.500 0.729
0.000 0.000 0.500
```

Values from the calculation:
M_tot	0.69	μB/cell

=====

*three*
A plane-wave DFT calculation with PBE was carried out for CeNd2Bi after structural relaxation.

Structure (POSCAR):
```
CeNd2Bi
1.0
1.839 1.062 11.060
-1.839 1.062 11.060
0.000 -2.124 11.060
Ce Nd Bi
1 2 1
Direct
0.000 0.000 0.000
0.247 0.247 0.247
0.753 0.753 0.753
0.500 0.500 0.500
```

Values from the calculation:
M_tot	0.65	μB/cell

=====

Name the least stable of them. *three*.

=====

*one*
A plane-wave DFT calculation with PBE was carried out for Ce2NdBi after structural relaxation.

Structure (POSCAR):
```
Ce2NdBi
1.0
0.000 3.930 3.930
3.930 0.000 3.930
3.930 3.930 0.000
Ce Nd Bi
2 1 1
Direct
0.250 0.250 0.250
0.750 0.750 0.750
0.000 0.000 0.000
0.500 0.500 0.500
```

Values from the calculation:
M_tot	2.31	μB/cell

=====

*two*
A plane-wave DFT calculation with PBE was carried out for Ce2NdBi after structural relaxation.

Structure (POSCAR):
```
Ce2NdBi
1.0
4.770 0.000 0.000
0.000 4.770 0.000
0.000 0.000 5.136
Ce Nd Bi
2 1 1
Direct
0.000 0.500 0.000
0.500 0.000 0.000
0.000 0.000 0.500
0.500 0.500 0.500
```

Values from the calculation:
M_tot	1.92	μB/cell

=====

Name the least stable of them. *one*.

=====

*one*
A plane-wave DFT calculation with PBE was carried out for Ce2Ni2Bi after structural relaxation.

Structure (POSCAR):
```
Ce2Ni2Bi
1.0
2.386 1.377 5.211
-2.386 1.377 5.211
0.000 -2.755 5.211
Ce Ni Bi
2 2 1
Direct
0.222 0.222 0.222
0.778 0.778 0.778
0.420 0.420 0.420
0.580 0.580 0.580
0.000 0.000 0.000
```

Values from the calculation:
M_tot	0.74	μB/cell

=====

*two*
A plane-wave DFT calculation with PBE was carried out for Ce2Ni2Bi after structural relaxation.

Structure (POSCAR):
```
Ce2Ni2Bi
1.0
7.455 0.000 0.000
0.000 7.455 0.000
0.000 0.000 3.839
Ce Ni Bi
4 4 2
Direct
0.174 0.326 0.000
0.326 0.826 0.000
0.674 0.174 0.000
0.826 0.674 0.000
0.120 0.620 0.500
0.380 0.120 0.500
0.620 0.880 0.500
0.880 0.380 0.500
0.000 0.000 0.500
0.500 0.500 0.500
```

Values from the calculation:
M_tot	0.00	μB/cell

=====

Name the least stable of them. *one*.

=====

*one*
A plane-wave DFT calculation with PBE was carried out for CeBiO after structural relaxation.

Structure (POSCAR):
```
CeBiO
1.0
3.840 0.000 0.000
-1.920 3.326 0.000
0.000 0.000 5.729
Ce Bi O
1 1 1
Direct
0.000 0.000 0.000
0.333 0.667 0.500
0.667 0.333 0.000
```

Values from the calculation:
M_tot	0.54	μB/cell

=====

*two*
A plane-wave DFT calculation with PBE was carried out for CeBiO after structural relaxation.

Structure (POSCAR):
```
CeBiO
1.0
4.157 0.000 0.000
0.000 4.157 0.000
0.000 0.000 7.889
Ce Bi O
2 2 2
Direct
0.250 0.250 0.144
0.750 0.750 0.856
0.250 0.250 0.589
0.750 0.750 0.411
0.250 0.750 0.000
0.750 0.250 0.000
```

Values from the calculation:
M_tot	1.99	μB/cell

=====

Name the least stable of them. *one*.

=====

*one*
A plane-wave DFT calculation with PBE was carried out for Ce4Bi3O2 after structural relaxation.

Structure (POSCAR):
```
Ce4Bi3O2
1.0
8.274 -2.093 0.000
8.274 2.093 0.000
-3.145 0.000 7.020
Ce Bi O
4 3 2
Direct
0.042 0.042 0.241
0.283 0.283 0.340
0.717 0.717 0.660
0.958 0.958 0.759
0.367 0.367 0.971
0.500 0.500 0.500
0.633 0.633 0.029
0.183 0.183 0.486
0.817 0.817 0.514
```

Values from the calculation:
M_tot	2.97	μB/cell

=====

*two*
A plane-wave DFT calculation with PBE was carried out for Ce4Bi3O2 after structural relaxation.

Structure (POSCAR):
```
Ce4Bi3O2
1.0
6.926 -2.134 0.000
6.926 2.134 0.000
-4.761 0.000 8.118
Ce Bi O
4 3 2
Direct
0.119 0.119 0.410
0.306 0.306 0.868
0.694 0.694 0.132
0.881 0.881 0.590
0.000 0.000 0.000
0.394 0.394 0.290
0.606 0.606 0.710
0.305 0.305 0.626
0.695 0.695 0.374
```

Values from the calculation:
M_tot	2.98	μB/cell

=====

Name the least stable of them. *one*.

=====

*one*
A plane-wave DFT calculation with PBE was carried out for Ce3BiO3 after structural relaxation.

Structure (POSCAR):
```
Ce3BiO3
1.0
3.453 1.993 7.724
-3.453 1.993 7.724
0.000 -3.987 7.724
Ce Bi O
6 2 6
Direct
0.054 0.738 0.398
0.262 0.602 0.946
0.398 0.054 0.738
0.602 0.946 0.262
0.738 0.398 0.054
0.946 0.262 0.602
0.167 0.167 0.167
0.833 0.833 0.833
0.046 0.370 0.701
0.299 0.954 0.630
0.370 0.701 0.046
0.630 0.299 0.954
0.701 0.046 0.370
0.954 0.630 0.299
```

Values from the calculation:
M_tot	6.04	μB/cell

=====

*two*
A plane-wave DFT calculation with PBE was carried out for Ce3BiO3 after structural relaxation.

Structure (POSCAR):
```
Ce3BiO3
1.0
6.658 0.000 0.000
0.000 6.658 0.000
0.000 0.000 6.658
Ce Bi O
6 2 6
Direct
0.000 0.250 0.500
0.000 0.750 0.500
0.250 0.500 0.000
0.500 0.000 0.250
0.500 0.000 0.750
0.750 0.500 0.000
0.000 0.000 0.000
0.500 0.500 0.500
0.000 0.500 0.250
0.000 0.500 0.750
0.250 0.000 0.500
0.500 0.250 0.000
0.500 0.750 0.000
0.750 0.000 0.500
```

Values from the calculation:
M_tot	6.01	μB/cell

=====

Name the least stable of them. *one*.

=====

*one*
A plane-wave DFT calculation with PBE was carried out for Ce3Bi2O2 after structural relaxation.

Structure (POSCAR):
```
Ce3Bi2O2
1.0
8.324 -2.063 0.000
8.324 2.063 0.000
-6.638 0.000 10.156
Ce Bi O
6 4 4
Direct
0.072 0.072 0.168
0.129 0.129 0.768
0.413 0.413 0.547
0.587 0.587 0.453
0.871 0.871 0.232
0.928 0.928 0.832
0.262 0.262 0.645
0.380 0.380 0.018
0.620 0.620 0.982
0.738 0.738 0.355
0.035 0.035 0.328
0.423 0.423 0.357
0.577 0.577 0.643
0.965 0.965 0.672
```

Values from the calculation:
M_tot	4.21	μB/cell

=====

*two*
A plane-wave DFT calculation with PBE was carried out for Ce3Bi2O2 after structural relaxation.

Structure (POSCAR):
```
Ce3Bi2O2
1.0
3.516 0.000 0.000
1.758 6.006 0.000
1.757 1.956 7.695
Ce Bi O
3 2 2
Direct
0.000 0.000 0.000
0.317 0.581 0.786
0.683 0.419 0.214
0.103 0.204 0.592
0.897 0.796 0.408
0.343 0.272 0.041
0.657 0.728 0.959
```

Values from the calculation:
M_tot	2.61	μB/cell

=====

Name the least stable of them. *two*.